No. 1
! BaAc4Er (PBE, relaxed); values from VASP
! formation enthalpy at 0 K	30	kJ/mol of atoms
! crystal system	cubic
&SYSTEM
  ibrav = 0, nat = 6, ntyp = 3
/
ATOMIC_SPECIES
Ac 227.00 Ac.upf
Er 167.26 Er.upf
Ba 137.33 Ba.upf
CELL_PARAMETERS angstrom
7.366 0.000 0.000
3.683 6.379 0.000
3.683 2.126 6.014
ATOMIC_POSITIONS angstrom
Ac 9.242 5.336 3.773
Ac 7.366 4.253 0.709
Ac 5.489 5.336 3.773
Ac 7.366 2.086 3.773
Er 0.000 0.000 0.000
Ba 3.683 2.126 1.504



No. 2
! Tl2TcAu (PBE, relaxed); values from VASP
! formation enthalpy at 0 K	57	kJ/mol of atoms
! crystal system	orthorhombic
! excess energy over the best structure of this formula in the dataset	0.123	eV per atom
&SYSTEM
  ibrav = 0, nat = 4, ntyp = 3
/
ATOMIC_SPECIES
Tl 204.38 Tl.upf
Au 196.97 Au.upf
Tc 98.00 Tc.upf
CELL_PARAMETERS angstrom
3.169 0.008 0.000
-1.547 2.765 0.000
0.000 0.000 9.547
ATOMIC_POSITIONS angstrom
Tl 0.000 0.000 4.856
Tl 0.000 0.000 9.464
Au 0.811 1.387 2.387
Tc 0.811 1.387 7.160



No. 3
! La3ErTm2Te6 (PBE, relaxed); values from VASP
! crystal system	monoclinic
! energy relative to the elements, uncorrected	-1400	meV/atom
&SYSTEM
  ibrav = 0, nat = 12, ntyp = 4
/
ATOMIC_SPECIES
La 138.91 La.upf
Te 127.60 Te.upf
Tm 168.93 Tm.upf
Er 167.26 Er.upf
CELL_PARAMETERS angstrom
4.371 0.000 0.000
0.000 9.038 0.139
-2.186 -2.796 9.374
ATOMIC_POSITIONS angstrom
La 0.000 6.596 3.228
La 2.186 -0.353 6.285
La 2.186 4.519 0.069
Te 2.186 -0.047 3.060
Te 0.000 2.131 0.128
Te 0.000 2.047 6.215
Te 2.186 4.111 9.385
Te 2.186 4.196 3.298
Te 0.000 6.290 6.453
Tm 2.186 4.170 6.349
Tm 0.000 2.072 3.164
Er 2.186 0.000 0.000



No. 4
! DyU2PaAs4 (PBE, relaxed); values from VASP
! formation enthalpy at 0 K	-97	kJ/mol of atoms
! crystal system	monoclinic
&SYSTEM
  ibrav = 0, nat = 8, ntyp = 4
/
ATOMIC_SPECIES
Pa 231.04 Pa.upf
As 74.92 As.upf
U 238.03 U.upf
Dy 162.50 Dy.upf
CELL_PARAMETERS angstrom
-2.408 -0.153 3.267
3.004 -6.063 1.931
3.639 5.463 2.937
ATOMIC_POSITIONS angstrom
Pa 0.000 0.000 0.000
As 3.166 -3.186 2.185
As 0.456 -0.231 2.850
As 3.779 -0.521 5.285
As 3.477 2.586 2.683
U 3.321 -0.300 2.434
U 0.616 2.655 3.102
Dy 0.298 -3.108 2.599



No. 5
! MgAu (PBE, relaxed); values from VASP
! formation enthalpy at 0 K	-45	kJ/mol of atoms
! crystal system	tetragonal
&SYSTEM
  ibrav = 0, nat = 16, ntyp = 2
/
ATOMIC_SPECIES
Mg 24.30 Mg.upf
Au 196.97 Au.upf
CELL_PARAMETERS angstrom
8.327 0.000 0.000
0.000 8.327 0.000
0.000 0.000 4.631
ATOMIC_POSITIONS angstrom
Mg 5.992 0.052 2.316
Mg 8.275 5.992 2.316
Mg 1.828 4.112 0.000
Mg 6.498 4.215 0.000
Mg 4.215 1.828 0.000
Mg 0.052 2.335 2.316
Mg 2.335 8.275 2.316
Mg 4.112 6.498 0.000
Au 6.961 1.477 0.000
Au 2.798 2.686 2.316
Au 5.641 2.798 2.316
Au 2.686 5.529 2.316
Au 6.849 6.961 0.000
Au 1.477 1.366 0.000
Au 5.529 5.641 2.316
Au 1.366 6.849 0.000



No. 6
! Nd2VB10 (PBE, relaxed); values from VASP
! formation enthalpy at 0 K	-40	kJ/mol of atoms
! crystal system	orthorhombic
&SYSTEM
  ibrav = 0, nat = 26, ntyp = 3
/
ATOMIC_SPECIES
V 50.94 V.upf
B 10.81 B.upf
Nd 144.24 Nd.upf
CELL_PARAMETERS angstrom
-2.330 1.599 -3.111
-4.583 0.174 3.522
2.925 10.647 3.280
ATOMIC_POSITIONS angstrom
V -0.829 5.411 3.401
V 0.000 0.000 0.000
B -2.619 10.645 3.451
B -1.093 2.168 1.933
B 1.420 7.452 2.765
B -1.952 8.769 5.967
B 1.036 5.796 2.202
B -1.618 0.518 1.477
B -1.370 1.775 0.239
B -3.826 5.311 1.616
B -1.098 7.750 0.826
B -0.001 7.442 3.824
B -2.695 5.025 4.600
B -1.658 3.379 2.978
B -0.565 8.653 4.869
B -0.162 7.108 2.075
B -1.683 10.003 4.701
B -3.078 3.369 4.037
B -2.306 2.417 -1.010
B -0.041 10.304 5.325
B -2.891 4.669 2.865
B 0.293 2.052 0.835
Nd -3.985 2.391 1.375
Nd -1.039 4.689 0.348
Nd -0.003 10.028 2.316
Nd -2.950 7.731 3.343



No. 7
! CrHgBr (PBE, relaxed); values from VASP
! crystal system	trigonal
! energy relative to the elements, uncorrected	55	meV/atom
! excess energy over the best structure of this formula in the dataset	0.000	eV per atom
&SYSTEM
  ibrav = 0, nat = 3, ntyp = 3
/
ATOMIC_SPECIES
Hg 200.59 Hg.upf
Cr 52.00 Cr.upf
Br 79.90 Br.upf
CELL_PARAMETERS angstrom
-2.025 3.070 -1.063
0.355 -2.977 -2.381
-5.104 -2.533 2.407
ATOMIC_POSITIONS angstrom
Hg -4.362 -0.499 -0.027
Cr -2.058 -1.765 -1.178
Br -0.354 -0.176 0.167



No. 8
! Ac3Pr3Y8 (PBE, relaxed); values from VASP
! formation enthalpy at 0 K	32	kJ/mol of atoms
! crystal system	orthorhombic
&SYSTEM
  ibrav = 0, nat = 14, ntyp = 3
/
ATOMIC_SPECIES
Y 88.91 Y.upf
Pr 140.91 Pr.upf
Ac 227.00 Ac.upf
CELL_PARAMETERS angstrom
5.632 0.000 1.132
1.994 9.231 4.656
0.822 0.519 10.485
ATOMIC_POSITIONS angstrom
Y 4.888 5.822 4.832
Y 4.155 8.359 8.477
Y 6.674 8.075 10.519
Y 3.560 3.928 11.441
Y 2.128 4.316 3.987
Y 4.292 1.392 7.796
Y 1.773 1.676 5.754
Y 6.319 5.434 12.286
Pr 5.116 1.786 3.698
Pr 3.332 7.964 12.575
Pr 4.224 4.875 8.137
Ac 2.816 0.000 0.566
Ac 7.338 7.093 7.219
Ac 6.741 2.657 10.186



Which V belongs to each record? In order, 283; 84; 372; 194; 321; 280; 79; 524 Å³ per cell.
Which VASP energy belongs to each record? In order, -3.509; -4.000; -5.329; -7.914; -2.900; -6.982; -3.811; -5.269 eV per atom.